(1)
First-principles (GGA-PBE) data for a relaxed structure of PuUHg, as listed in OQMD via LeMat-Bulk.

- Energy: -7.985 eV/atom

Cell: 4.871 4.871 4.871 Å, 60.00 60.00 60.00°
Fractional positions:
Pu: 0.000 0.000 0.000
U: 0.750 0.750 0.750
Hg: 0.500 0.500 0.500


(2)
First-principles (GGA-PBE) data for a relaxed structure of PuHgW, as listed in OQMD via LeMat-Bulk.

- Relative energy among the computed polymorphs: 890.4 meV per atom

Cell: 4.734 4.734 4.734 Å, 60.00 60.00 60.00°
Fractional positions:
Pu: 0.000 0.000 0.000
Hg: 0.750 0.750 0.750
W: 0.250 0.250 0.250


(3)
First-principles (GGA-PBE) data for a relaxed structure of PuHgW, as listed in OQMD via LeMat-Bulk.

- Relative energy among the computed polymorphs: 0.0 meV per atom

Cell: 4.659 4.659 4.659 Å, 60.00 60.00 60.00°
Fractional positions:
Pu: 0.000 0.000 0.000
Hg: 0.500 0.500 0.500
W: 0.750 0.750 0.750


(4)
First-principles (GGA-PBE) data for a relaxed structure of Rb6Hg5, as listed in OQMD via LeMat-Bulk.

- Energy: -0.855 eV/atom

Cell: 14.326 14.326 5.596 Å, 90.00 90.00 120.00°
Fractional positions:
Rb: 0.009 0.244 0.250
Rb: 0.135 0.620 0.250
Rb: 0.235 0.991 0.250
Rb: 0.244 0.235 0.750
Rb: 0.380 0.515 0.250
Rb: 0.485 0.865 0.250
Rb: 0.515 0.135 0.750
Rb: 0.620 0.485 0.750
Rb: 0.756 0.765 0.250
Rb: 0.765 0.009 0.750
Rb: 0.865 0.380 0.750
Rb: 0.991 0.756 0.750
Hg: 0.000 0.000 0.000
Hg: 0.000 0.000 0.500
Hg: 0.152 0.435 0.750
Hg: 0.283 0.848 0.750
Hg: 0.333 0.667 0.750
Hg: 0.435 0.283 0.250
Hg: 0.565 0.717 0.750
Hg: 0.667 0.333 0.250
Hg: 0.717 0.152 0.250
Hg: 0.848 0.565 0.250